No. 1
A geometry-optimized NaZrAs2 structure, computed with PBE.

- Density: 5.46 Mg/m³
- DFT formation energy: -0.406 eV/atom
- Polymorph energy (0 for the lowest one): 0.2446 eV/atom
- Total energy: -5.20 eV/atom

The structure in POSCAR format:
```
NaZrAs2
1.0
0.000 3.424 3.424
3.424 0.000 3.424
3.424 3.424 0.000
Na As Zr
1 2 1
direct
0.000 0.000 0.000 Na
0.250 0.250 0.250 As
0.750 0.750 0.750 As
0.500 0.500 0.500 Zr
```

***

No. 2
A geometry-optimized KLa2TaZn structure, computed with PBE.

- Density: 5.34 Mg/m³
- DFT formation energy: 0.817 eV/atom
- Total energy: -4.00 eV/atom

The structure in POSCAR format:
```
KLa2TaZn
1.0
5.870 0.000 0.000
0.000 5.085 0.000
0.000 0.000 5.870
Zn La K Ta
1 2 1 1
direct
0.000 0.000 0.000 Zn
0.000 0.000 0.500 La
0.500 0.000 0.000 La
0.500 0.500 0.500 K
0.000 0.500 0.000 Ta
```

***

No. 3
A geometry-optimized La2NbCo2 structure, computed with PBE.

- Density: 7.16 Mg/m³
- DFT formation energy: 0.364 eV/atom
- Polymorph energy (0 for the lowest one): 0.2428 eV/atom
- Total energy: -6.46 eV/atom

The structure in POSCAR format:
```
La2NbCo2
1.0
5.622 0.000 0.000
0.000 5.622 0.000
2.811 2.811 3.584
Nb Co La
1 2 2
direct
0.000 0.000 0.000 Nb
0.331 0.331 0.337 Co
0.669 0.669 0.663 Co
0.750 0.250 0.500 La
0.250 0.750 0.500 La
```

***

No. 4
A geometry-optimized AgIF structure, computed with PBE.

- Density: 5.89 Mg/m³
- Formation energy from raw total energies: -568 meV per atom
- Polymorph energy (0 for the lowest one): 0.0712 eV/atom
- Total energy: -2.66 eV/atom

The structure in POSCAR format:
```
AgIF
1.0
5.880 0.000 0.000
0.000 3.749 0.000
0.000 -1.874 3.246
I Ag F
1 1 1
direct
0.725 0.667 0.333 I
0.059 0.000 0.000 Ag
0.215 0.333 0.667 F
```

***

No. 5
A geometry-optimized CrAgTe2 structure, computed with PBE.

- Density: 7.05 Mg/m³
- Formation energy from raw total energies: 241 meV per atom
- Total energy: -4.45 eV/atom

The structure in POSCAR format:
```
CrAgTe2
1.0
-0.405 -0.467 -3.556
0.063 -3.215 1.639
-7.911 0.284 0.863
Ag Cr Te
1 1 2
direct
0.500 0.500 0.250 Ag
0.500 0.500 0.750 Cr
0.000 0.000 0.979 Te
0.000 0.000 0.521 Te
```

***

No. 6
A geometry-optimized ZnAs2SeI structure, computed with PBE.

- Density: 5.65 Mg/m³
- Formation energy from raw total energies: 625 meV per atom
- Polymorph energy (0 for the lowest one): 0.0000 eV/atom
- Total energy: -2.50 eV/atom

The structure in POSCAR format:
```
ZnAs2SeI
1.0
5.094 0.000 0.000
0.000 5.094 0.000
0.000 0.000 4.769
I As Zn Se
1 2 1 1
direct
0.500 0.500 0.500 I
0.000 0.500 0.000 As
0.500 0.000 0.000 As
0.000 0.000 0.000 Zn
0.000 0.000 0.500 Se
```

***

No. 7
A geometry-optimized RuPt structure, computed with PBE.

- Density: 15.09 Mg/m³
- DFT formation energy: 0.504 eV/atom
- Total energy: -7.15 eV/atom

The structure in POSCAR format:
```
RuPt
1.0
2.340 2.500 -2.693
-3.304 -2.376 -1.553
-4.963 6.049 1.304
Ru Pt
4 4
direct
0.333 0.667 0.091 Ru
0.667 0.333 0.591 Ru
0.667 0.333 0.909 Ru
0.333 0.667 0.409 Ru
0.000 0.000 0.250 Pt
0.000 0.000 0.750 Pt
0.333 0.667 0.750 Pt
0.667 0.333 0.250 Pt
```

***

No. 8
A geometry-optimized BaMnIr2 structure, computed with PBE.

- Density: 9.78 Mg/m³
- DFT formation energy: -0.038 eV/atom
- Polymorph energy (0 for the lowest one): 0.0043 eV/atom
- Total energy: -7.24 eV/atom

The structure in POSCAR format:
```
BaMnIr2
1.0
-4.156 -0.436 -1.477
-3.049 -2.002 2.519
-3.771 4.253 2.711
Ba Ir Mn
1 2 1
direct
0.750 0.750 0.750 Ba
0.932 0.932 0.203 Ir
0.568 0.568 0.297 Ir
0.250 0.250 0.250 Mn
```

***

No. 9
A geometry-optimized Fe2Ir structure, computed with PBE.

- Density: 13.31 Mg/m³
- DFT formation energy: 0.029 eV/atom
- Total energy: -8.57 eV/atom

The structure in POSCAR format:
```
Fe2Ir
1.0
-3.362 -2.976 2.660
-1.692 -0.924 -3.172
4.808 -6.127 -0.779
Fe Ir
8 4
direct
0.124 0.250 0.245 Fe
0.376 0.750 0.745 Fe
0.624 0.250 0.255 Fe
0.876 0.750 0.755 Fe
0.123 0.250 0.582 Fe
0.377 0.750 0.082 Fe
0.623 0.250 0.918 Fe
0.877 0.750 0.418 Fe
0.629 0.250 0.586 Ir
0.871 0.750 0.086 Ir
0.129 0.250 0.914 Ir
0.371 0.750 0.414 Ir
```

***

No. 10
A geometry-optimized Cs2ZnAuO structure, computed with PBE.

- Density: 5.40 Mg/m³
- Formation energy from raw total energies: -574 meV per atom
- Polymorph energy (0 for the lowest one): 0.1690 eV/atom
- Total energy: -2.82 eV/atom

The structure in POSCAR format:
```
Cs2ZnAuO
1.0
-3.630 3.982 3.619
1.684 -3.306 5.326
3.127 2.397 0.499
Cs Zn Au O
2 1 1 1
direct
0.000 0.500 0.000 Cs
0.500 0.000 0.000 Cs
0.000 0.000 0.500 Zn
0.500 0.500 0.500 Au
0.000 0.000 0.000 O
```

***

No. 11
A geometry-optimized Y4Te2C structure, computed with PBE.

- Density: 5.87 Mg/m³
- Formation energy from raw total energies: -906 meV per atom
- Polymorph energy (0 for the lowest one): 0.0000 eV/atom
- Total energy: -6.82 eV/atom

The structure in POSCAR format:
```
Y4Te2C
1.0
3.776 0.000 1.021
1.328 5.716 2.581
-0.139 -0.322 8.005
Y C Te
4 1 2
direct
0.060 0.207 0.674 Y
0.940 0.793 0.326 Y
0.359 0.229 0.052 Y
0.641 0.771 0.948 Y
0.000 0.000 0.000 C
0.342 0.636 0.679 Te
0.658 0.364 0.321 Te
```

***

No. 12
A geometry-optimized PaCo2Ge2Ru structure, computed with PBE.

- Density: 10.80 Mg/m³
- DFT formation energy: -0.438 eV/atom
- Total energy: -7.47 eV/atom

The structure in POSCAR format:
```
PaCo2Ge2Ru
1.0
4.087 0.000 0.000
-2.044 3.540 0.000
0.000 0.000 6.326
Pa Co Ge Ru
1 2 2 1
direct
0.000 0.000 0.000 Pa
0.667 0.333 0.273 Co
0.333 0.667 0.727 Co
0.667 0.333 0.680 Ge
0.333 0.667 0.320 Ge
0.000 0.000 0.500 Ru
```